Entry 1:
A crystal of MgGeSeBr2 relaxed with PBEsol, computed with meta-GGA SCAN.

abc: 5.127 5.127 5.154
angles: 90.00 90.00 90.00
Space group P4/mmm (No. 123)
One atom of each set of equivalent atoms:
Mg 0.000 0.000 0.000 x1
Ge 0.500 0.500 0.500 x1
Se 0.500 0.500 0.000 x1
Br 0.000 0.500 0.500 x2

Computed properties:
Its total energy is -16.823 eV/atom. Its density of states at the Fermi level is 1.1 states/eV/f.u.

***

Entry 2:
A crystal of MgTaGe2Br relaxed with PBEsol, computed with meta-GGA SCAN.

abc: 4.907 4.907 5.782
angles: 90.00 90.00 90.00
Space group P4/mmm (No. 123)
One atom of each set of equivalent atoms:
Mg 0.000 0.000 0.000 x1
Ta 0.000 0.000 0.500 x1
Ge 0.000 0.500 0.500 x2
Br 0.500 0.500 0.000 x1

Computed properties:
Its total energy is -25.261 eV/atom. Its density of states at the Fermi level is 4.4 states/eV/f.u.

***

Results for raw formation energy: -0.211, 0.578 (in eV/atom, following the order of the records).